Record 1
A plane-wave DFT calculation with GGA-PBEsol was carried out for crystalline Ca2OsBr at its relaxed geometry.

It has space group P4/mmm (No. 123), with a = 5.2417 Å, b = 5.2417 Å, c = 3.1542 Å, α = 90.00°, β = 90.00° and γ = 90.00°. The asymmetric unit holds Ca at (0.0000, 0.5000, 0.0000), Os at (0.0000, 0.0000, 0.5000) and Br at (0.5000, 0.5000, 0.5000).

Its magnetic moment is 0.00 μB/cell. Its density of states at the Fermi level is 3.46 states/eV/f.u. As for the uncorrected formation energy: -0.15 eV per atom. The calculation puts the relative energy among the computed polymorphs at 200 meV/atom. Its volume is 21.67 Å³ per atom.

Record 2
A plane-wave DFT calculation with GGA-PBEsol was carried out for crystalline MnRh2PbBr at its relaxed geometry.

It has space group P4/mmm (No. 123), with a = 4.6396 Å, b = 4.6396 Å, c = 4.4930 Å, α = 90.00°, β = 90.00° and γ = 90.00°. The asymmetric unit holds Mn at (0.0000, 0.0000, 0.0000), Rh at (0.0000, 0.5000, 0.5000), Pb at (0.5000, 0.5000, 0.0000) and Br at (0.0000, 0.0000, 0.5000).

Its magnetic moment is 3.83 μB/cell. Its density of states at the Fermi level is 3.57 states/eV/f.u. As for the uncorrected formation energy: 0.78 eV per atom. Its volume is 19.34 Å³ per atom.

Record 3
A plane-wave DFT calculation with GGA-PBEsol was carried out for crystalline Ta11Mo5 at its relaxed geometry.

It has space group Pm (No. 6), with a = 6.4614 Å, b = 6.4322 Å, c = 6.4619 Å, α = 90.00°, β = 90.49° and γ = 90.00°. The asymmetric unit holds Ta at (0.0000, 0.0000, 0.0000), Ta at (0.0000, 0.5000, 0.0035), Ta at (0.0015, 0.5000, 0.5142), Ta at (0.2582, 0.2478, 0.2597), Ta at (0.2588, 0.2474, 0.7548), Ta at (0.5115, 0.0000, 0.0021), Ta at (0.5127, 0.5000, 0.5164), Ta at (0.7534, 0.2474, 0.2609), Mo at (0.0051, 0.0000, 0.5082), Mo at (0.5074, 0.5000, 0.0084), Mo at (0.5107, 0.0000, 0.5102) and Mo at (0.7550, 0.2484, 0.7567).

Its magnetic moment is 0.00 μB/cell. Its density of states at the Fermi level is 17.92 states/eV/f.u. Its formation energy is -1.24 eV/f.u. Its volume is 16.78 Å³ per atom.

Record 4
A plane-wave DFT calculation with GGA-PBEsol was carried out for crystalline LaGeSe2N at its relaxed geometry.

It has space group P4/mmm (No. 123), with a = 5.1240 Å, b = 5.1240 Å, c = 3.7370 Å, α = 90.00°, β = 90.00° and γ = 90.00°. The asymmetric unit holds La at (0.0000, 0.0000, 0.0000), Ge at (0.5000, 0.5000, 0.5000), Se at (0.0000, 0.5000, 0.5000) and N at (0.5000, 0.5000, 0.0000).

Its magnetic moment is 0.00 μB/cell. Its density of states at the Fermi level is 1.65 states/eV/f.u. As for the uncorrected formation energy: -0.51 eV per atom. Its volume is 19.62 Å³ per atom.

> Among the records above, which one has the highest volume?

Ca2OsBr